Entry 1:
Below is Er8Sn5Sb after structural relaxation, with properties calculated at the PBE level.

Cell lengths 9.1903, 9.1903, 9.1992 Å; angles 90.00, 90.00, 90.00 degrees
With the nearest neighbours (Å) after each atom.
Space group I-4 (No. 82)
Asymmetric unit:
Er: 0.0719 0.1778 0.1969 (multiplicity 8)  5 Sn 3.07-3.30, 1 Sb 3.07
Er: 0.0726 0.3211 0.5549 (multiplicity 8)  5 Sn 3.06-3.30, 1 Sb 3.32
Sn: 0.0000 0.0000 0.5000 (multiplicity 2)  8 Er 3.07-3.30
Sn: 0.1256 0.2499 0.8760 (multiplicity 8)  8 Er 3.06-3.30
Sb: 0.0000 0.5000 0.2500 (multiplicity 2)  8 Er 3.07-3.32

Summary:
The value obtained for the raw total energy is -5.08 eV/atom. The uncorrected formation energy comes out at -10.44 eV per formula unit.



Entry 2:
Below is Ho2ZnCo3Ge4 after structural relaxation, with properties calculated at the PBE level.

Cell lengths 4.0514, 4.0514, 9.9483 Å; angles 90.00, 90.00, 90.00 degrees
With the nearest neighbours (Å) after each atom.
Space group P-4m2 (No. 115)
Asymmetric unit:
Ho: 0.0000 0.5000 0.2386 (multiplicity 2)  8 Ge 3.08-3.12, 6 Co 3.09-3.30, 2 Zn 3.30
Zn: 0.0000 0.0000 0.5000 (multiplicity 1)  4 Ge 2.50
Co: 0.0000 0.5000 0.8778 (multiplicity 2)  5 Ge 2.30-2.36
Co: 0.5000 0.5000 0.5000 (multiplicity 1)  4 Ge 2.50
Ge: 0.0000 0.0000 0.0000 (multiplicity 1)  4 Co 2.36
Ge: 0.0000 0.5000 0.6465 (multiplicity 2)  3 Co 2.30-2.50, 2 Zn 2.50
Ge: 0.5000 0.5000 0.0000 (multiplicity 1)  4 Co 2.36

Summary:
The energy relative to the elements is -12.0 kcal/mol of atoms. The value obtained for the raw total energy is -5.54 eV/atom.



Entry 3:
Below is PmGaSiNi3 after structural relaxation, with properties calculated at the PBE level.

Cell lengths 6.2192, 11.4581, 5.4816 Å; angles 90.00, 90.00, 90.00 degrees
With the nearest neighbours (Å) after each atom.
Space group Cmcm (No. 63)
Asymmetric unit:
Pm: 0.0000 0.2152 0.2500 (multiplicity 4)  1 Ga 2.93, 2 Si 2.94, 8 Ni 3.00-3.14
Ga: 0.0000 0.4712 0.2500 (multiplicity 4)  5 Ni 2.35-2.37
Si: 0.0000 0.1234 0.7500 (multiplicity 4)  5 Ni 2.27-2.32
Ni: 0.0000 0.3216 0.7500 (multiplicity 4)  1 Si 2.27, 1 Ga 2.37
Ni: 0.1972 0.0000 0.0000 (multiplicity 8)  2 Si 2.32, 2 Ga 2.35, 1 Ni 2.45

Summary:
The value obtained for the raw total energy is -5.49 eV/atom. The uncorrected formation energy comes out at -2.42 eV per formula unit.